Density functional theory data (PBE) for an optimized crystal structure of AlAgSb2.

Geometry as POSCAR:
```
AlAgSb2
1.0
-2.1039 -2.0947 -0.9915
1.6497 -1.7689 1.9867
-5.8470 2.5148 7.0942
Sb Ag Al
2 1 1
Cartesian
-1.8955 -1.2142 2.5218
-5.5950 2.4064 6.7885
-3.1247 1.3440 3.7913
-4.4565 -0.1127 5.6291
```

=====

Density functional theory data (PBE) for an optimized crystal structure of AlAg2Sb.

Geometry as POSCAR:
```
AlAg2Sb
1.0
-1.5972 2.8018 -2.7558
-3.0980 -2.7279 -0.9779
-2.5636 1.7433 3.2582
Ag Al Sb
2 1 1
Cartesian
0.0000 0.0000 0.0000
-2.3476 0.0369 -1.8669
-2.0804 2.2726 0.2512
-2.8308 -0.4923 1.1401
```

The calculation puts the offset from the most stable computed form at 84 meV per atom.

=====

Density functional theory data (PBE) for an optimized crystal structure of AlAgSb2.

Geometry as POSCAR:
```
AlAgSb2
1.0
-3.9895 -1.3478 2.8448
-3.7495 -2.7654 -2.0295
-0.6127 -4.8521 1.3810
Sb Al Ag
2 1 1
Cartesian
0.0000 0.0000 0.0000
-2.0879 -2.2413 0.5491
-6.2637 -6.7240 1.6472
-4.1758 -4.4827 1.0981
```

=====

Density functional theory data (PBE) for an optimized crystal structure of AlAg2Sb.

Geometry as POSCAR:
```
AlAg2Sb
1.0
-2.6858 1.2775 -1.1915
-1.2616 -3.7640 -1.1918
-2.7350 -0.7730 5.3365
Sb Al Ag
1 1 2
Cartesian
-4.0091 -1.8185 2.7797
-1.2973 -0.3666 2.5313
-2.6741 -1.4412 0.1749
-0.0695 -0.0196 0.1355
```

The calculation puts the offset from the most stable computed form at 58 meV per atom.

=====

What density values result from the calculations? In sequence: 6.84 7.48 6.77 7.54 g/cm³.
What E values result from the calculations? In sequence: -3.527 -3.269 -3.396 -3.295 eV/atom.